A plane-wave DFT calculation with PBE+U was carried out for a relaxed CrSe2O5 crystal.

The space group is Pbcn (No. 60) and the conventional cell measures 7.0792, 10.4146 and 6.7455 Å, with angles of 90.00, 90.00 and 90.00 degrees. The distinct sites, in fractional coordinates, are Cr at (0.0000, 0.0568, 0.2500), Se at (0.1408, 0.3412, 0.0584), O at (0.0000, 0.4295, 0.2500), O at (0.1530, 0.0754, 0.5767) and O at (0.1934, 0.2014, 0.1777).

The value obtained for the total magnetic moment is 16.0 μB/cell. The value obtained for the energy is -5.92 eV/atom.